Record 1
The following is a PBE calculation of a relaxed structure of Mg4Ga6Pd7, from Alexandria.

a b c (Å): 8.2682 8.2682 8.2682
angles (deg): 90.00 90.00 90.00
Space group Im-3m (No. 229)
Unique sites:
Mg (0.2500, 0.2500, 0.2500) (multiplicity 8)
Ga (0.0000, 0.0000, 0.3104) (multiplicity 12)
Pd (0.0000, 0.0000, 0.0000) (multiplicity 2)
Pd (0.0000, 0.2500, 0.5000) (multiplicity 12)

DFT formation energy   -0.61 eV per atom
E   -71.3 eV per formula unit

Record 2
The following is a PBE calculation of a relaxed structure of Mg2GaPd, from Alexandria.

a b c (Å): 3.0000 4.0375 14.4002
angles (deg): 90.00 90.00 90.00
Space group Immm (No. 71)
Unique sites:
Mg (0.0000, 0.0000, 0.1826) (multiplicity 4)
Ga (0.0000, 0.0000, 0.5000) (multiplicity 2)
Pd (0.0000, 0.0000, 0.0000) (multiplicity 2)

DFT formation energy   -0.20 eV per atom
E   -12.2 eV per formula unit

Record 3
The following is a PBE calculation of a relaxed structure of MgGa2Pd7, from Alexandria.

a b c (Å): 7.3215 12.2286 4.3480
angles (deg): 90.00 90.00 90.00
Space group Cmmm (No. 65)
Unique sites:
Mg (0.0000, 0.0000, 0.0000) (multiplicity 2)
Ga (0.0000, 0.3003, 0.5000) (multiplicity 4)
Pd (0.0000, 0.2124, 0.0000) (multiplicity 4)
Pd (0.0000, 0.5000, 0.5000) (multiplicity 2)
Pd (0.1878, 0.1166, 0.5000) (multiplicity 8)

DFT formation energy   -0.14 eV per atom
E   -45.4 eV per formula unit

Record 4
The following is a PBE calculation of a relaxed structure of Mg7GaPd4, from Alexandria.

a b c (Å): 12.8881 4.8857 9.1270
angles (deg): 90.00 126.08 90.00
Space group C2/m (No. 12)
Unique sites:
Mg (0.0000, 0.0000, 0.0000) (multiplicity 2)
Mg (0.0656, 0.5000, 0.3634) (multiplicity 4)
Mg (0.1948, 0.0000, 0.6403) (multiplicity 4)
Mg (0.2185, 0.5000, 0.8767) (multiplicity 4)
Ga (0.0000, 0.5000, 0.0000) (multiplicity 2)
Pd (0.0644, 0.0000, 0.7723) (multiplicity 4)
Pd (0.1961, 0.0000, 0.3500) (multiplicity 4)

DFT formation energy   -0.36 eV per atom
E   -39.3 eV per formula unit

Record 5
The following is a PBE calculation of a relaxed structure of Mg3Ga2Pd, from Alexandria.

a b c (Å): 5.6892 13.6997 5.9102
angles (deg): 90.00 90.00 90.00
Space group Ibam (No. 72)
Unique sites:
Mg (0.0000, 0.0000, 0.2500) (multiplicity 4)
Mg (0.2490, 0.1701, 0.0000) (multiplicity 8)
Ga (0.2307, 0.3709, 0.0000) (multiplicity 8)
Pd (0.0000, 0.5000, 0.2500) (multiplicity 4)

DFT formation energy   -0.29 eV per atom
E   -17.7 eV per formula unit

Record 6
The following is a PBE calculation of a relaxed structure of Mg3Ga3Pd, from Alexandria.

a b c (Å): 10.2548 3.3679 15.4388
angles (deg): 90.00 105.00 90.00
Space group C2/m (No. 12)
Unique sites:
Mg (0.0058, 0.0000, 0.1305) (multiplicity 4)
Mg (0.1297, 0.0000, 0.4241) (multiplicity 4)
Mg (0.2481, 0.0000, 0.7301) (multiplicity 4)
Ga (0.0130, 0.5000, 0.7195) (multiplicity 4)
Ga (0.1032, 0.5000, 0.5737) (multiplicity 4)
Ga (0.1447, 0.5000, 0.0212) (multiplicity 4)
Pd (0.2124, 0.5000, 0.8647) (multiplicity 4)

DFT formation energy   -0.35 eV per atom
E   -21.5 eV per formula unit

Record 7
The following is a PBE calculation of a relaxed structure of Mg5GaPd8, from Alexandria.

a b c (Å): 7.6316 7.6316 7.9976
angles (deg): 90.00 90.00 90.00
Space group I-4 (No. 82)
Unique sites:
Mg (0.0000, 0.0000, 0.0000) (multiplicity 2)
Mg (0.1217, 0.2731, 0.6615) (multiplicity 8)
Ga (0.0000, 0.5000, 0.2500) (multiplicity 2)
Pd (0.0744, 0.1766, 0.3385) (multiplicity 8)
Pd (0.0836, 0.3284, 0.9951) (multiplicity 8)

DFT formation energy   -0.54 eV per atom
E   -60.2 eV per formula unit

Record 8
The following is a PBE calculation of a relaxed structure of Mg2Ga2Pd, from Alexandria.

a b c (Å): 9.8685 4.2379 9.7338
angles (deg): 90.00 113.71 90.00
Space group C2/m (No. 12)
Unique sites:
Mg (0.0076, 0.0000, 0.3313) (multiplicity 4)
Mg (0.1817, 0.0000, 0.1080) (multiplicity 4)
Ga (0.0366, 0.5000, 0.8874) (multiplicity 4)
Ga (0.1445, 0.5000, 0.5610) (multiplicity 4)
Pd (0.2173, 0.5000, 0.3301) (multiplicity 4)

DFT formation energy   -0.40 eV per atom
E   -16.4 eV per formula unit

Record 9
The following is a PBE calculation of a relaxed structure of Mg2Ga3Pd, from Alexandria.

a b c (Å): 3.1460 4.4698 7.6126
angles (deg): 90.00 90.00 90.00
Space group Pmm2 (No. 25)
Unique sites:
Mg (0.0000, 0.0000, 0.0000) (multiplicity 1)
Mg (0.0000, 0.5000, 0.4602) (multiplicity 1)
Ga (0.5000, 0.0000, 0.6450) (multiplicity 1)
Ga (0.5000, 0.5000, 0.1453) (multiplicity 1)
Ga (0.5000, 0.5000, 0.8092) (multiplicity 1)
Pd (0.5000, 0.0000, 0.3114) (multiplicity 1)

DFT formation energy   -0.34 eV per atom
E   -19.5 eV per formula unit

Record 10
The following is a PBE calculation of a relaxed structure of MgGa2Pd4, from Alexandria.

a b c (Å): 4.6280 4.6280 12.5591
angles (deg): 90.00 90.00 90.00
Space group I4/mmm (No. 139)
Unique sites:
Mg (0.0000, 0.0000, 0.0000) (multiplicity 2)
Ga (0.0000, 0.0000, 0.3907) (multiplicity 4)
Pd (0.0000, 0.0000, 0.2001) (multiplicity 4)
Pd (0.0000, 0.5000, 0.0000) (multiplicity 4)

DFT formation energy   0.08 eV per atom
E   -27.9 eV per formula unit

Record 11
The following is a PBE calculation of a relaxed structure of MgGa5Pd6, from Alexandria.

a b c (Å): 4.3592 6.3604 6.8743
angles (deg): 90.00 107.87 90.00
Space group P2/m (No. 10)
Unique sites:
Mg (0.0000, 0.0000, 0.0000) (multiplicity 1)
Ga (0.0000, 0.5000, 0.0000) (multiplicity 1)
Ga (0.3335, 0.5000, 0.6683) (multiplicity 2)
Ga (0.3378, 0.0000, 0.6760) (multiplicity 2)
Pd (0.1715, 0.2524, 0.3415) (multiplicity 4)
Pd (0.5000, 0.2620, 0.0000) (multiplicity 2)

DFT formation energy   -0.62 eV per atom
E   -55.3 eV per formula unit

Record 12
The following is a PBE calculation of a relaxed structure of Mg2GaPd, from Alexandria.

a b c (Å): 4.4133 4.4133 3.5352
angles (deg): 90.00 90.00 90.00
Space group P4/mmm (No. 123)
Unique sites:
Mg (0.0000, 0.5000, 0.0000) (multiplicity 2)
Ga (0.0000, 0.0000, 0.5000) (multiplicity 1)
Pd (0.5000, 0.5000, 0.5000) (multiplicity 1)

DFT formation energy   -0.45 eV per atom
E   -13.2 eV per formula unit

Record 13
The following is a PBE calculation of a relaxed structure of Mg4Ga3Pd, from Alexandria.

a b c (Å): 3.2961 4.3623 10.3915
angles (deg): 90.00 90.00 90.00
Space group Pmm2 (No. 25)
Unique sites:
Mg (0.0000, 0.0000, 0.0000) (multiplicity 1)
Mg (0.0000, 0.5000, 0.3069) (multiplicity 1)
Mg (0.5000, 0.0000, 0.4801) (multiplicity 1)
Mg (0.5000, 0.5000, 0.8134) (multiplicity 1)
Ga (0.0000, 0.0000, 0.7253) (multiplicity 1)
Ga (0.0000, 0.5000, 0.5780) (multiplicity 1)
Ga (0.5000, 0.5000, 0.0811) (multiplicity 1)
Pd (0.5000, 0.0000, 0.2181) (multiplicity 1)

DFT formation energy   -0.31 eV per atom
E   -23.1 eV per formula unit

Record 14
The following is a PBE calculation of a relaxed structure of Mg2GaPd, from Alexandria.

a b c (Å): 9.5330 5.2282 6.3407
angles (deg): 90.00 109.97 90.00
Space group C2/c (No. 15)
Unique sites:
Mg (0.2160, 0.0111, 0.1100) (multiplicity 8)
Ga (0.0000, 0.2868, 0.2500) (multiplicity 4)
Pd (0.0000, 0.2224, 0.7500) (multiplicity 4)

DFT formation energy   -0.38 eV per atom
E   -12.9 eV per formula unit

Record 15
The following is a PBE calculation of a relaxed structure of Mg7Ga2Pd2, from Alexandria.

a b c (Å): 7.3014 8.2566 7.1585
angles (deg): 90.00 106.37 90.00
Space group C2/m (No. 12)
Unique sites:
Mg (0.0000, 0.0000, 0.0000) (multiplicity 2)
Mg (0.1664, 0.0000, 0.4286) (multiplicity 4)
Mg (0.2013, 0.3140, 0.1783) (multiplicity 8)
Ga (0.0000, 0.3080, 0.5000) (multiplicity 4)
Pd (0.1202, 0.5000, 0.8274) (multiplicity 4)

DFT formation energy   -0.39 eV per atom
E   -31.9 eV per formula unit

Record 16
The following is a PBE calculation of a relaxed structure of Mg5Ga12Pd2, from Alexandria.

a b c (Å): 12.5545 8.6064 6.4322
angles (deg): 90.00 91.34 90.00
Space group C2/m (No. 12)
Unique sites:
Mg (0.0000, 0.0000, 0.0000) (multiplicity 2)
Mg (0.1753, 0.5000, 0.5293) (multiplicity 4)
Mg (0.2333, 0.5000, 0.0449) (multiplicity 4)
Ga (0.0120, 0.5000, 0.2020) (multiplicity 4)
Ga (0.1061, 0.0000, 0.5482) (multiplicity 4)
Ga (0.1333, 0.2453, 0.8142) (multiplicity 8)
Ga (0.1528, 0.2119, 0.2364) (multiplicity 8)
Pd (0.0000, 0.2776, 0.5000) (multiplicity 4)

DFT formation energy   -0.23 eV per atom
E   -59.0 eV per formula unit

Record 17
The following is a PBE calculation of a relaxed structure of Mg4Ga3Pd, from Alexandria.

a b c (Å): 9.0668 7.1187 4.5326
angles (deg): 90.00 90.00 90.00
Space group Pmma (No. 51)
Unique sites:
Mg (0.0000, 0.2387, 0.0000) (multiplicity 4)
Mg (0.2500, 0.2390, 0.4955) (multiplicity 4)
Ga (0.0000, 0.5000, 0.5000) (multiplicity 2)
Ga (0.2500, 0.0000, 0.9939) (multiplicity 2)
Ga (0.2500, 0.5000, 0.9960) (multiplicity 2)
Pd (0.0000, 0.0000, 0.5000) (multiplicity 2)

DFT formation energy   -0.29 eV per atom
E   -23.0 eV per formula unit

Record 18
The following is a PBE calculation of a relaxed structure of Mg6Ga3Pd, from Alexandria.

a b c (Å): 8.0117 4.7825 10.6662
angles (deg): 90.00 111.50 90.00
Space group P2_1/m (No. 11)
Unique sites:
Mg (0.0081, 0.2500, 0.3349) (multiplicity 2)
Mg (0.0113, 0.7500, 0.1597) (multiplicity 2)
Mg (0.2322, 0.2500, 0.1418) (multiplicity 2)
Mg (0.2496, 0.7500, 0.4885) (multiplicity 2)
Mg (0.3971, 0.2500, 0.9237) (multiplicity 2)
Mg (0.4511, 0.7500, 0.3095) (multiplicity 2)
Ga (0.1696, 0.2500, 0.6269) (multiplicity 2)
Ga (0.1984, 0.7500, 0.9721) (multiplicity 2)
Ga (0.3810, 0.7500, 0.7711) (multiplicity 2)
Pd (0.3715, 0.2500, 0.4168) (multiplicity 2)

DFT formation energy   -0.25 eV per atom
E   -26.4 eV per formula unit

Record 19
The following is a PBE calculation of a relaxed structure of Mg3Ga12Pd, from Alexandria.

a b c (Å): 4.1960 4.1960 16.5221
angles (deg): 90.00 90.00 90.00
Space group P4/mmm (No. 123)
Unique sites:
Mg (0.0000, 0.0000, 0.0000) (multiplicity 1)
Mg (0.0000, 0.0000, 0.2555) (multiplicity 2)
Ga (0.0000, 0.5000, 0.1275) (multiplicity 4)
Ga (0.0000, 0.5000, 0.3864) (multiplicity 4)
Ga (0.5000, 0.5000, 0.0000) (multiplicity 1)
Ga (0.5000, 0.5000, 0.2553) (multiplicity 2)
Ga (0.5000, 0.5000, 0.5000) (multiplicity 1)
Pd (0.0000, 0.0000, 0.5000) (multiplicity 1)

DFT formation energy   -0.13 eV per atom
E   -48.3 eV per formula unit

Record 20
The following is a PBE calculation of a relaxed structure of Mg3Ga2Pd, from Alexandria.

a b c (Å): 6.7669 8.0500 9.0024
angles (deg): 90.00 109.62 90.00
Space group P2_1/c (No. 14)
Unique sites:
Mg (0.1929, 0.1352, 0.1656) (multiplicity 4)
Mg (0.2392, 0.5652, 0.9824) (multiplicity 4)
Mg (0.2768, 0.5546, 0.3782) (multiplicity 4)
Ga (0.0219, 0.7271, 0.6430) (multiplicity 4)
Ga (0.4321, 0.6707, 0.7350) (multiplicity 4)
Pd (0.3881, 0.2443, 0.4675) (multiplicity 4)

DFT formation energy   -0.37 eV per atom
E   -18.2 eV per formula unit